## SrZnSb (PBE-GGA)

Data for SrZnSb after structural relaxation.

The space group is Fmm2 (No. 42) and the conventional cell measures 5.468, 5.506 and 11.217 Å, with angles of 90.00, 90.00 and 90.00 degrees. The asymmetric unit holds Sr at (0.000, 0.000, 0.000), Zn at (0.000, 0.000, 0.311) and Sb at (0.000, 0.000, 0.697).

The calculation puts the excess energy over the best structure of this formula in the dataset at 0.83 eV per formula unit. The value obtained for the total energy is -2.733 eV per atom. For the uncorrected formation energy, the calculation gives -0.37 eV/atom.

## RbYZr2 (PBE-GGA)

Data for RbYZr2 after structural relaxation.

The space group is Fm-3m (No. 225) and the conventional cell measures 7.838, 7.838 and 7.838 Å, with angles of 90.00, 90.00 and 90.00 degrees. The asymmetric unit holds Rb at (0.000, 0.000, 0.000), Y at (0.000, 0.000, 0.500) and Zr at (0.250, 0.250, 0.250).

The calculation puts the excess energy over the best structure of this formula in the dataset at 0.00 eV per formula unit. For the formation energy, the calculation gives 1.14 eV per atom. The value obtained for the total energy is -4.991 eV per atom.

## Na2Zn15Cu2 (PBE-GGA)

Data for Na2Zn15Cu2 after structural relaxation.

The space group is R-3m (No. 166, hexagonal axes) and the conventional cell measures 8.9539, 8.9539 and 13.2577 Å, with angles of 90.00, 90.00 and 120.00 degrees. The asymmetric unit holds Na at (0.0000, 0.0000, 0.1617), Zn at (0.0000, 0.2918, 0.5000), Zn at (0.0000, 0.5000, 0.0000), Zn at (0.0005, 0.5002, 0.3492) and Cu at (0.0000, 0.0000, 0.4026).

For the formation energy, the calculation gives -0.02 eV per atom. The value obtained for the total energy is -1.595 eV per atom.

## NaPmTm4Se8 (PBE-GGA)

Data for NaPmTm4Se8 after structural relaxation.

The space group is R3m (No. 160, hexagonal axes) and the conventional cell measures 8.3683, 8.3683 and 20.8764 Å, with angles of 90.00, 90.00 and 120.00 degrees. The asymmetric unit holds Na at (0.0000, 0.0000, 0.0000), Pm at (0.0000, 0.0000, 0.6323), Tm at (0.0000, 0.0000, 0.2537), Tm at (0.1734, 0.3467, 0.4593), Se at (0.0000, 0.0000, 0.3860), Se at (0.0000, 0.0000, 0.8666), Se at (0.0216, 0.5108, 0.3842) and Se at (0.1743, 0.3487, 0.2055).

The value obtained for the total energy is -5.453 eV per atom. For the uncorrected formation energy, the calculation gives -1.75 eV/atom.

## GaSiRu2Pb (PBE-GGA)

Data for GaSiRu2Pb after structural relaxation.

The space group is P4/mmm (No. 123) and the conventional cell measures 4.654, 4.654 and 5.105 Å, with angles of 90.00, 90.00 and 90.00 degrees. The asymmetric unit holds Ga at (0.000, 0.000, 0.000), Si at (0.500, 0.500, 0.500), Ru at (0.000, 0.500, 0.000) and Pb at (0.000, 0.000, 0.500).

The value obtained for the total energy is -4.786 eV per atom. For the uncorrected formation energy, the calculation gives 1.36 eV/atom.

## Ho8Ag2Bi (PBE-GGA)

Data for Ho8Ag2Bi after structural relaxation.

The space group is C2/m (No. 12) and the conventional cell measures 8.715, 13.802 and 5.595 Å, with angles of 90.00, 107.69 and 90.00 degrees. The asymmetric unit holds Ho at (0.000, 0.239, 0.000), Ho at (0.099, 0.500, 0.801), Ho at (0.206, 0.119, 0.606), Ag at (0.000, 0.304, 0.500) and Bi at (0.000, 0.000, 0.000).

For the formation energy, the calculation gives -0.12 eV per atom. The value obtained for the total energy is -4.319 eV per atom.

## MnTlZn2 (PBE-GGA)

Data for MnTlZn2 after structural relaxation.

The space group is I4/mmm (No. 139) and the conventional cell measures 4.064, 4.064 and 8.648 Å, with angles of 90.00, 90.00 and 90.00 degrees. The asymmetric unit holds Mn at (0.000, 0.000, 0.000), Tl at (0.000, 0.000, 0.500) and Zn at (0.000, 0.500, 0.250).

The calculation puts the excess energy over the best structure of this formula in the dataset at 0.42 eV per formula unit. For the formation energy, the calculation gives 0.31 eV per atom. The value obtained for the total energy is -3.207 eV per atom.

## Ga3TcAu (PBE-GGA)

Data for Ga3TcAu after structural relaxation.

The space group is Pm-3m (No. 221) and the conventional cell measures 4.807, 4.807 and 4.807 Å, with angles of 90.00, 90.00 and 90.00 degrees. The asymmetric unit holds Ga at (0.000, 0.000, 0.500), Tc at (0.000, 0.000, 0.000) and Au at (0.500, 0.500, 0.500).

The calculation puts the excess energy over the best structure of this formula in the dataset at 0.00 eV per formula unit. For the formation energy, the calculation gives 0.34 eV per atom. The value obtained for the total energy is -4.201 eV per atom.

## Ba2BN3 (PBE-GGA)

Data for Ba2BN3 after structural relaxation.

The space group is Fmmm (No. 69) and the conventional cell measures 7.821, 9.365 and 10.823 Å, with angles of 90.00, 90.00 and 90.00 degrees. The asymmetric unit holds Ba at (0.201, 0.000, 0.000), Ba at (0.250, 0.250, 0.250), B at (0.000, 0.000, 0.356), N at (0.000, 0.000, 0.223) and N at (0.000, 0.139, 0.430).

The value obtained for the total energy is -6.451 eV per atom. For the uncorrected formation energy, the calculation gives -0.53 eV/atom.

## Pr3In2Hg4 (PBE-GGA)

Data for Pr3In2Hg4 after structural relaxation.

The space group is C2/m (No. 12) and the conventional cell measures 11.443, 5.003 and 9.489 Å, with angles of 90.00, 116.47 and 90.00 degrees. The asymmetric unit holds Pr at (0.000, 0.000, 0.000), Pr at (0.165, 0.500, 0.672), In at (0.111, 0.500, 0.277), Hg at (0.085, 0.000, 0.419) and Hg at (0.196, 0.500, 0.028).

For the formation energy, the calculation gives -0.47 eV per atom. The value obtained for the total energy is -2.810 eV per atom.

## Sc2ReSn (PBE-GGA)

Data for Sc2ReSn after structural relaxation.

The space group is R-3m (No. 166, hexagonal axes) and the conventional cell measures 3.0433, 3.0433 and 30.8200 Å, with angles of 90.00, 90.00 and 120.00 degrees. The asymmetric unit holds Sc at (0.0000, 0.0000, 0.0838), Re at (0.0000, 0.0000, 0.0000) and Sn at (0.0000, 0.0000, 0.5000).

For the formation energy, the calculation gives 0.37 eV per atom. The value obtained for the total energy is -6.908 eV per atom.

## NdLuPt2 (PBE-GGA)

Data for NdLuPt2 after structural relaxation.

The space group is R-3m (No. 166, hexagonal axes) and the conventional cell measures 4.1215, 4.1215 and 19.7817 Å, with angles of 90.00, 90.00 and 120.00 degrees. The asymmetric unit holds Nd at (0.0000, 0.0000, 0.0000), Lu at (0.0000, 0.0000, 0.5000) and Pt at (0.0000, 0.0000, 0.2428).

The calculation puts the excess energy over the best structure of this formula in the dataset at 0.22 eV per formula unit. For the formation energy, the calculation gives -1.11 eV per atom. The value obtained for the total energy is -6.453 eV per atom.

## LaMgSb (PBE-GGA)

Data for LaMgSb after structural relaxation.

The space group is Fmm2 (No. 42) and the conventional cell measures 5.096, 5.967 and 11.527 Å, with angles of 90.00, 90.00 and 90.00 degrees. The asymmetric unit holds La at (0.000, 0.000, 0.000), Mg at (0.000, 0.000, 0.302) and Sb at (0.000, 0.000, 0.677).

The calculation puts the excess energy over the best structure of this formula in the dataset at 0.65 eV per formula unit. The value obtained for the total energy is -4.042 eV per atom. For the uncorrected formation energy, the calculation gives -0.49 eV/atom.